Here is a relaxed YbAgW2O8 crystal from Alexandria. Energies are from PBE+U.

Computed properties:
space-group type: C2/m, No. 12
final energy: -6.81 eV/atom

Cell: 7.5555 7.5555 7.3010 Å, 65.15 65.15 95.18°
Closest atoms and distances in Å follow each position.
Element x y z (fractional)
Yb  0.7113  0.2887  0.0000  6 O 2.32-2.36
Yb  0.2887  0.7113  0.0000  6 O 2.32-2.36
Ag  0.7077  0.7077  0.4812  2 O 2.23-2.29
Ag  0.2923  0.2923  0.5188  2 O 2.23-2.29
W  0.2243  0.2243  0.0134  3 O 1.83-1.85
W  0.7757  0.7757  0.9866  3 O 1.83-1.85
W  0.8385  0.1615  0.5000  4 O 1.80-1.95
W  0.1615  0.8385  0.5000  4 O 1.80-1.95
O  0.3536  0.1077  0.2311  2 W 1.95-2.13
O  0.6464  0.8923  0.7689  2 W 1.95-2.13
O  0.8923  0.6464  0.7689  2 W 1.95-2.13
O  0.1077  0.3536  0.2311  2 W 1.95-2.13
O  0.6918  0.2094  0.3534  1 W 1.80
O  0.3082  0.7906  0.6466  1 W 1.80
O  0.7906  0.3082  0.6466  1 W 1.80
O  0.2094  0.6918  0.3534  1 W 1.80
O  0.6965  0.9459  0.1025  1 W 1.83
O  0.3035  0.0541  0.8975  1 W 1.83
O  0.0541  0.3035  0.8975  1 W 1.83
O  0.9459  0.6965  0.1025  1 W 1.83
O  0.9815  0.9815  0.3399  3 W 2.11-2.22, 1 Ag 2.29
O  0.0185  0.0185  0.6601  3 W 2.11-2.22, 1 Ag 2.29
O  0.5439  0.5439  0.1669  1 W 1.85
O  0.4561  0.4561  0.8331  1 W 1.85